# 1
Below is a geometry-optimized NiBr3 structure, with properties calculated at the PBE-GGA level.

Summary:
Raw formation energy = 28 meV per atom
Space-group type = Pmm2, No. 25
V = 31.678 Å³ per atom

Lattice parameters (Å, degrees): 3.6681 3.6561 9.4484 90.00 90.00 90.00
With the nearest neighbours (Å) after each atom.
Positions (direct):
Br  0.5000  0.0000  0.5420  8 Br 3.66-3.73
Br  0.5000  0.5000  0.8855  2 Ni 2.35
Ni  0.0000  0.5000  0.0412  4 Br 2.35
Br  0.0000  0.0000  0.1980  2 Ni 2.35

# 2
Below is a geometry-optimized Ba3Ga8Cu3 structure, with properties calculated at the PBE-GGA level.

Summary:
ΔE to the lowest computed polymorph = 0.0 meV/atom
Space-group type = Immm, No. 71
V = 22.721 Å³ per atom
Calculated formation energy = -6.67 kcal/mol of atoms

Lattice parameters (Å, degrees): 4.3831 8.8089 8.8089 82.24 75.59 75.59
With the nearest neighbours (Å) after each atom.
Positions (direct):
Ga  0.8265  0.8502  0.4967  1 Cu 2.51, 3 Ga 2.73-2.75
Ba  0.2012  0.7988  0.7988  4 Cu 3.34-3.54, 8 Ga 3.37-3.39
Cu  0.0000  0.2149  0.7851  6 Ga 2.51-2.59
Ba  0.5000  0.5000  0.5000  12 Ga 3.70-3.76, 2 Ba 3.74, 4 Cu 3.96
Ga  0.1735  0.1498  0.5033  1 Cu 2.51, 3 Ga 2.73-2.75
Cu  0.0000  0.7851  0.2149  6 Ga 2.51-2.59
Cu  0.5000  0.0000  0.0000  4 Ga 2.67
Ga  0.3904  0.9116  0.3075  3 Cu 2.59-2.67, 4 Ga 2.73-2.75
Ba  0.7988  0.2012  0.2012  4 Cu 3.34-3.54, 8 Ga 3.37-3.39
Ga  0.8265  0.4967  0.8502  1 Cu 2.51, 3 Ga 2.73-2.75
Ga  0.1735  0.5033  0.1498  1 Cu 2.51, 3 Ga 2.73-2.75
Ga  0.6096  0.6925  0.0884  3 Cu 2.59-2.67, 4 Ga 2.73-2.75
Ga  0.6096  0.0884  0.6925  3 Cu 2.59-2.67, 4 Ga 2.73-2.75
Ga  0.3904  0.3075  0.9116  3 Cu 2.59-2.67, 4 Ga 2.73-2.75

# 3
Below is a geometry-optimized CeY2Te structure, with properties calculated at the PBE-GGA level.

Summary:
ΔE to the lowest computed polymorph = 62.1 meV/atom
Raw formation energy = -468 meV per atom
Space-group type = R3m, No. 160
V = 32.241 Å³ per atom

Lattice parameters (Å, degrees): 3.8661 3.8661 10.2103 79.09 79.09 60.00
With the nearest neighbours (Å) after each atom.
Positions (direct):
Y  0.2624  0.2624  0.2128  3 Te 3.08
Y  0.0711  0.0711  0.7866  3 Te 3.08
Te  0.6667  0.6667  0.9998  6 Y 3.08
Ce  0.4998  0.4998  0.5007  6 Y 3.62-3.63, 6 Ce 3.87

# 4
Below is a geometry-optimized K2FeMo structure, with properties calculated at the PBE-GGA level.

Summary:
ΔE to the lowest computed polymorph = 62.3 meV/atom
Space-group type = Cm, No. 8
V = 32.880 Å³ per atom
Calculated formation energy = 21.12 kcal/mol of atoms

Lattice parameters (Å, degrees): 3.9029 3.9029 10.1563 80.58 80.58 59.97
With the nearest neighbours (Å) after each atom.
Positions (direct):
K  0.0452  0.0452  0.9077  3 Mo 3.54, 3 Fe 3.71-3.72, 6 K 3.90
Fe  0.7955  0.7955  0.6117  3 Mo 2.26
K  0.2036  0.2036  0.3465  3 Fe 3.47-3.48, 3 Mo 3.65
Mo  0.4558  0.4558  0.6341  3 Fe 2.26

# 5
Below is a geometry-optimized TlGa2Au structure, with properties calculated at the PBE-GGA level.

Summary:
ΔE to the lowest computed polymorph = 113.6 meV/atom
Space-group type = I-42d, No. 122
V = 23.474 Å³ per atom
Calculated formation energy = 0.80 kcal/mol of atoms

Lattice parameters (Å, degrees): 4.6300 4.6300 9.3521 75.67 75.67 90.00
With the nearest neighbours (Å) after each atom.
Positions (direct):
Ga  0.3750  0.4451  0.7500  2 Au 2.61, 2 Ga 2.85, 2 Tl 2.89
Ga  0.8750  0.8049  0.7500  2 Au 2.61, 2 Ga 2.85, 2 Tl 2.89
Ga  0.5549  0.1250  0.2500  2 Au 2.61, 2 Ga 2.85, 2 Tl 2.89
Ga  0.1951  0.6250  0.2500  2 Au 2.61, 2 Ga 2.85, 2 Tl 2.89
Au  0.5000  0.5000  0.0000  4 Ga 2.61
Tl  0.7500  0.2500  0.5000  4 Ga 2.89
Tl  0.0000  0.0000  0.0000  4 Ga 2.89
Au  0.2500  0.7500  0.5000  4 Ga 2.61

# 6
Below is a geometry-optimized Er3CuBi structure, with properties calculated at the PBE-GGA level.

Summary:
Space-group type = Pmma, No. 51
V = 27.541 Å³ per atom
Calculated formation energy = -7.23 kcal/mol of atoms

Lattice parameters (Å, degrees): 5.2207 6.3520 8.3050 90.00 90.00 90.00
With the nearest neighbours (Å) after each atom.
Positions (direct):
Er  0.0000  0.7500  0.2718  2 Cu 2.62
Cu  0.5000  0.7500  0.2935  5 Er 2.62-2.91
Er  0.5000  0.2500  0.3783  1 Cu 2.73
Cu  0.5000  0.2500  0.7065  5 Er 2.62-2.91
Er  0.5000  0.0000  0.0000  2 Cu 2.91, 2 Er 3.18
Er  0.5000  0.5000  0.0000  2 Cu 2.91, 2 Er 3.18
Bi  0.0000  0.2500  0.1486  9 Er 3.23-3.49
Er  0.5000  0.7500  0.6217  1 Cu 2.73
Er  0.0000  0.2500  0.7282  2 Cu 2.62
Bi  0.0000  0.7500  0.8514  9 Er 3.23-3.49

# 7
Below is a geometry-optimized YZrCu3 structure, with properties calculated at the PBE-GGA level.

Summary:
ΔE to the lowest computed polymorph = 1220.4 meV/atom
Space-group type = Pm-3m, No. 221
V = 21.950 Å³ per atom
Calculated formation energy = 23.81 kcal/mol of atoms

Lattice parameters (Å, degrees): 4.7878 4.7878 4.7878 90.00 90.00 90.00
With the nearest neighbours (Å) after each atom.
Positions (direct):
Cu  0.5000  0.0000  0.0000  2 Y 2.39
Cu  0.0000  0.5000  0.0000  2 Y 2.39
Cu  0.0000  0.0000  0.5000  2 Y 2.39
Y  0.0000  0.0000  0.0000  6 Cu 2.39
Zr  0.5000  0.5000  0.5000  12 Cu 3.39

# 8
Below is a geometry-optimized SrSiTc2 structure, with properties calculated at the PBE-GGA level.

Summary:
Raw formation energy = -126 meV per atom
Space-group type = R3m, No. 160
V = 22.328 Å³ per atom

Lattice parameters (Å, degrees): 4.2639 4.2639 6.1837 69.83 69.83 60.00
With the nearest neighbours (Å) after each atom.
Positions (direct):
Si  0.5587  0.5587  0.3241  6 Tc 2.49-2.62
Tc  0.2462  0.2462  0.2615  3 Si 2.49, 3 Tc 2.52
Sr  0.7512  0.7512  0.7461  4 Tc 3.28-3.43, 4 Si 3.28-3.43
Tc  0.9439  0.9439  0.1683  3 Tc 2.52, 3 Si 2.62

# 9
Below is a geometry-optimized NdYMn17 structure, with properties calculated at the PBE-GGA level.

Summary:
Space-group type = R3m, No. 160
V = 13.435 Å³ per atom
Calculated formation energy = 0.72 kcal/mol of atoms

Lattice parameters (Å, degrees): 6.3561 6.3561 6.3561 86.32 86.32 86.32
With the nearest neighbours (Å) after each atom.
Positions (direct):
Mn  0.3532  0.3532  0.8773  9 Mn 2.47-2.71
Mn  0.3532  0.8773  0.3532  9 Mn 2.47-2.71
Mn  0.6454  0.6454  0.1227  9 Mn 2.48-2.71
Mn  0.7265  0.0010  0.2739  7 Mn 2.32-2.58
Mn  0.8773  0.3532  0.3532  9 Mn 2.47-2.71
Nd  0.6435  0.6435  0.6435  16 Mn 2.96-3.31
Mn  0.0995  0.0995  0.0995  1 Mn 2.32
Mn  0.9009  0.9009  0.9009  1 Mn 2.32
Mn  0.2739  0.0010  0.7265  7 Mn 2.32-2.58
Mn  0.6454  0.1227  0.6454  9 Mn 2.48-2.71
Mn  0.1227  0.6454  0.6454  9 Mn 2.48-2.71
Mn  0.7265  0.2739  0.0010  7 Mn 2.32-2.58
Mn  0.0013  0.0013  0.4996  8 Mn 2.32-2.48
Mn  0.2739  0.7265  0.0010  7 Mn 2.32-2.58
Y  0.3538  0.3538  0.3538  13 Mn 2.96-3.19
Mn  0.4996  0.0013  0.0013  8 Mn 2.32-2.48
Mn  0.0010  0.7265  0.2739  7 Mn 2.32-2.58
Mn  0.0010  0.2739  0.7265  7 Mn 2.32-2.58
Mn  0.0013  0.4996  0.0013  8 Mn 2.32-2.48

# 10
Below is a geometry-optimized PaCu5Rh6 structure, with properties calculated at the PBE-GGA level.

Summary:
Space-group type = Immm, No. 71
V = 14.304 Å³ per atom
Calculated formation energy = -4.43 kcal/mol of atoms

Lattice parameters (Å, degrees): 4.2381 6.4589 7.3649 116.01 106.72 90.00
With the nearest neighbours (Å) after each atom.
Positions (direct):
Cu  0.3275  0.3275  0.6550  8 Rh 2.59-2.63
Rh  0.1698  0.9115  0.3395  7 Cu 2.59-2.70, 1 Pa 2.70
Cu  0.3350  0.8350  0.6700  8 Rh 2.59-2.71
Rh  0.8302  0.0885  0.6605  7 Cu 2.59-2.70, 1 Pa 2.70
Rh  0.1697  0.4280  0.3395  7 Cu 2.59-2.70, 1 Pa 2.70
Rh  0.8303  0.5720  0.6605  7 Cu 2.59-2.70, 1 Pa 2.70
Rh  0.5000  0.2704  0.0000  6 Cu 2.59-2.71, 2 Pa 2.75
Pa  0.0000  0.0000  0.0000  8 Rh 2.70-2.75, 4 Cu 2.96
Cu  0.0000  0.5000  0.0000  8 Rh 2.59-2.64
Cu  0.6650  0.1650  0.3300  8 Rh 2.59-2.71
Cu  0.6725  0.6725  0.3450  8 Rh 2.59-2.63
Rh  0.5000  0.7296  0.0000  6 Cu 2.59-2.71, 2 Pa 2.75

# 11
Below is a geometry-optimized TmZr2PaAs4 structure, with properties calculated at the PBE-GGA level.

Summary:
Space-group type = P2/m, No. 10
V = 22.143 Å³ per atom
Calculated formation energy = -27.81 kcal/mol of atoms

Lattice parameters (Å, degrees): 3.9872 6.8589 6.8756 70.40 90.00 90.00
With the nearest neighbours (Å) after each atom.
Positions (direct):
As  0.0000  0.7614  0.7441  3 Zr 2.76-2.78, 1 Tm 2.84, 2 Pa 2.86
As  0.0000  0.2386  0.2559  3 Zr 2.76-2.78, 1 Tm 2.84, 2 Pa 2.86
Zr  0.0000  0.0000  0.0000  6 As 2.78
As  0.5000  0.2409  0.7524  3 Zr 2.77-2.78, 2 Tm 2.84, 1 Pa 2.84
Tm  0.0000  0.5000  0.5000  6 As 2.84
Zr  0.5000  0.0000  0.5000  6 As 2.76-2.77
As  0.5000  0.7591  0.2476  3 Zr 2.77-2.78, 2 Tm 2.84, 1 Pa 2.84
Pa  0.5000  0.5000  0.0000  6 As 2.84-2.86

# 12
Below is a geometry-optimized Al2ReOs structure, with properties calculated at the PBE-GGA level.

Summary:
ΔE to the lowest computed polymorph = 23.7 meV/atom
Space-group type = Imm2, No. 44
V = 14.395 Å³ per atom
Calculated formation energy = -4.82 kcal/mol of atoms

Lattice parameters (Å, degrees): 5.2222 5.2222 5.2222 146.30 132.68 59.35
With the nearest neighbours (Å) after each atom.
Positions (direct):
Re  0.2575  0.7575  0.5000  6 Al 2.59-2.70, 2 Os 2.64
Os  0.4962  0.4962  0.0000  6 Al 2.59-2.65, 2 Re 2.64
Al  0.7354  0.2354  0.5000  4 Re 2.59, 2 Os 2.65
Al  0.0109  0.0109  0.0000  4 Os 2.59, 2 Re 2.70

Number 1: DOS at the Fermi energy 3.999 states/eV/cell. Number 2: DOS at the Fermi energy 3.595 states/eV/cell. Number 3: DOS at the Fermi energy 7.463 states/eV/cell. Number 4: DOS at the Fermi energy 5.437 states/eV/cell. Number 5: DOS at the Fermi energy 3.545 states/eV/cell. Number 6: DOS at the Fermi energy 10.093 states/eV/cell. Number 7: DOS at the Fermi energy 4.768 states/eV/cell. Number 8: DOS at the Fermi energy 3.354 states/eV/cell. Number 9: DOS at the Fermi energy 18.432 states/eV/cell. Number 10: DOS at the Fermi energy 15.945 states/eV/cell. Number 11: DOS at the Fermi energy 5.442 states/eV/cell. Number 12: DOS at the Fermi energy 2.357 states/eV/cell.